## BaAc4Tl (GGA-PBE)

Data for crystalline BaAc4Tl at its relaxed geometry.

Unit cell a=7.384 b=7.384 c=7.384 alpha=60.00 beta=60.00 gamma=60.00
Element x y z (fractional)
Ba1 0.000 0.000 0.000
Ac1 0.130 0.623 0.623
Ac2 0.623 0.130 0.623
Ac3 0.623 0.623 0.130
Ac4 0.623 0.623 0.623
Tl1 0.250 0.250 0.250

Values from the calculation:
ΔH_f (0 K) = 0.254 eV per atom
Fermi-level density of states = 1.316 states/eV per atom
M_tot = 0.00 μB per atom